Entry from Alexandria via LeMat-Bulk: a relaxed structure of SiWSe (GGA-PBE).

Output
- Uncorrected formation energy: 0.121 eV/atom
- Crystal system: trigonal

Lattice parameters (Å, degrees): 3.2314 3.2314 5.6336 90.00 90.00 120.00
Space group P3m1 (No. 156)
Unique sites:
Si (0.0000, 0.0000, 0.0000) [1 per cell]
W (0.3333, 0.6667, 0.3042) [1 per cell]
Se (0.6667, 0.3333, 0.6168) [1 per cell]

Entry from Alexandria via LeMat-Bulk: a relaxed structure of Na3HoHg12 (GGA-PBE).

Output
- Formation energy from the elements: -3.4 eV per formula unit
- Crystal system: tetragonal

Lattice parameters (Å, degrees): 4.6338 4.6338 18.7469 90.00 90.00 90.00
Space group P4/mmm (No. 123)
Unique sites:
Na (0.0000, 0.0000, 0.0000) [1 per cell]
Na (0.0000, 0.0000, 0.2523) [2 per cell]
Ho (0.0000, 0.0000, 0.5000) [1 per cell]
Hg (0.0000, 0.5000, 0.1273) [4 per cell]
Hg (0.0000, 0.5000, 0.3779) [4 per cell]
Hg (0.5000, 0.5000, 0.0000) [1 per cell]
Hg (0.5000, 0.5000, 0.2545) [2 per cell]
Hg (0.5000, 0.5000, 0.5000) [1 per cell]